No. 1
First-principles (PBE) data for crystalline CsHg3MoSe4 at its relaxed geometry, as listed in the Open Quantum Materials Database.

space group: No. 215

Cell lengths 7.2986, 7.2986, 7.2986 Å; angles 90.00, 90.00, 90.00 degrees
With the nearest neighbours (Å) after each atom.
Atoms (fractional coordinates):
Hg 0.5000 0.5000 0.0000  4 Se 2.99
Hg 0.0000 0.5000 0.5000  4 Se 2.99
Hg 0.5000 0.0000 0.5000  4 Se 2.99
Cs 0.0000 0.0000 0.0000  4 Se 3.95
Mo 0.5000 0.5000 0.5000  4 Se 2.37
Se 0.3127 0.3127 0.3127  1 Mo 2.37
Se 0.6873 0.3127 0.6873  1 Mo 2.37
Se 0.3127 0.6873 0.6873  1 Mo 2.37
Se 0.6873 0.6873 0.3127  1 Mo 2.37

No. 2
First-principles (PBE) data for crystalline CsHg3Te4Mo at its relaxed geometry, as listed in the Open Quantum Materials Database.

space group: No. 215

Cell lengths 7.5948, 7.5948, 7.5948 Å; angles 90.00, 90.00, 90.00 degrees
With the nearest neighbours (Å) after each atom.
Atoms (fractional coordinates):
Hg 0.5000 0.0000 0.5000  4 Te 3.12
Hg 0.5000 0.5000 0.0000  4 Te 3.12
Hg 0.0000 0.5000 0.5000  4 Te 3.12
Te 0.3051 0.3051 0.3051  1 Mo 2.56
Te 0.6949 0.3051 0.6949  1 Mo 2.56
Te 0.6949 0.6949 0.3051  1 Mo 2.56
Te 0.3051 0.6949 0.6949  1 Mo 2.56
Cs 0.0000 0.0000 0.0000  4 Te 4.01
Mo 0.5000 0.5000 0.5000  4 Te 2.56

No. 3
First-principles (PBE) data for crystalline CsHgNO at its relaxed geometry, as listed in the Open Quantum Materials Database.

space group: No. 26

Cell lengths 3.8841, 6.7450, 6.9734 Å; angles 90.00, 90.00, 90.00 degrees
With the nearest neighbours (Å) after each atom.
Atoms (fractional coordinates):
Hg 0.5000 0.0011 0.2120  2 N 2.05, 2 O 2.24-2.25
Hg 0.5000 0.5011 0.7880  2 N 2.05, 2 O 2.24-2.25
Cs 0.0000 0.0022 0.7604  4 O 3.06-3.08, 2 N 3.16-3.38
Cs 0.0000 0.5022 0.2396  4 O 3.06-3.08, 2 N 3.16-3.38
N 0.0000 0.4983 0.6934  2 Hg 2.05
N 0.0000 0.9983 0.3066  2 Hg 2.05
O 0.5000 0.7524 0.9974  2 Hg 2.24-2.25
O 0.5000 0.2524 0.0026  2 Hg 2.24-2.25

No. 4
First-principles (PBE) data for crystalline CsHgNO at its relaxed geometry, as listed in the Open Quantum Materials Database.

space group: No. 129

Cell lengths 5.0495, 5.0495, 6.0052 Å; angles 90.00, 90.00, 90.00 degrees
With the nearest neighbours (Å) after each atom.
Atoms (fractional coordinates):
N 0.2500 0.2500 0.5456  1 Hg 2.45, 4 Cs 2.54
N 0.7500 0.7500 0.4544  1 Hg 2.45, 4 Cs 2.54
Cs 0.2500 0.7500 0.5000  4 N 2.54
Cs 0.7500 0.2500 0.5000  4 N 2.54
O 0.7500 0.2500 0.0000  4 Hg 2.54
O 0.2500 0.7500 0.0000  4 Hg 2.54
Hg 0.7500 0.7500 0.0460  1 N 2.45, 4 O 2.54
Hg 0.2500 0.2500 0.9540  1 N 2.45, 4 O 2.54

Number 1: VASP energy -28.9 eV for the cell shown. Number 2: VASP energy -26.1 eV for the cell shown. Number 3: VASP energy -25.0 eV for the cell shown. Number 4: VASP energy -21.7 eV for the cell shown.